[1]
6
Lattice="-10.637 0.321 -7.678 -4.549 -2.476 -1.911 2.779 1.975 4.342" Properties=species:S:1:pos:R:3 comment="PBE LiGeB, relaxed" e_form_ev_per_atom=0.194 dos_ef_per_ev_atom=0.2765 vol_a3_per_atom=15.8 crystal_system=monoclinic pbc="T T T"
Li -8.052 0.232 -3.903
Li -4.354 -0.413 -1.344
Ge -6.218 -1.698 -2.966
B -2.545 -1.187 -0.186
Ge -6.188 1.517 -2.281
B -9.862 1.006 -5.061

[2]
4
Lattice="0.000 3.329 3.329 3.329 0.000 3.329 3.329 3.329 0.000" Properties=species:S:1:pos:R:3 comment="PBE BaTc2Ir, relaxed" e_form_ev_per_atom=1.160 e_above_lowest_polymorph_ev_per_atom=0.842 dos_ef_per_ev_atom=1.4172 vol_a3_per_atom=18.4 crystal_system=cubic pbc="T T T"
Ba 0.000 0.000 0.000
Tc 4.993 4.993 4.993
Tc 1.664 1.664 1.664
Ir 3.329 3.329 3.329